# PBE TcAgN2, relaxed
# Symmetry: No. 225
# Volume, Å³/atom: 10.7
# Uncorrected energy, eV/atom: -5.98
# Energy relative to the elements, uncorrected, meV/atom: 1491
# Polymorph energy (0 for the lowest one), kJ per mole of atoms: 103.9
data_TcAgN2
_cell_length_a 3.930
_cell_length_b 3.930
_cell_length_c 3.930
_cell_angle_alpha 60.00
_cell_angle_beta 60.00
_cell_angle_gamma 60.00
_symmetry_space_group_name_H-M 'P 1'
_symmetry_Int_Tables_number 1
loop_
_symmetry_equiv_pos_as_xyz
'x,y,z'
loop_
_atom_site_label
_atom_site_type_symbol
_atom_site_fract_x
_atom_site_fract_y
_atom_site_fract_z
_atom_site_occupancy
Tc1 Tc 0.000 0.000 0.000 1
Ag1 Ag 0.500 0.500 0.500 1
N1 N 0.250 0.250 0.250 1
N2 N 0.750 0.750 0.750 1